Entry 1:
Ca2PuSi3Au12: optimized geometry, GGA-PBE.

Geometry as POSCAR:
```
Ca2PuSi3Au12
1.0
4.483 2.588 5.892
-4.483 2.588 5.892
0.000 -5.177 5.892
Ca Pu Si Au
2 1 3 12
direct
0.093 0.093 0.093
0.907 0.907 0.907
0.500 0.500 0.500
0.000 0.500 0.500
0.500 0.000 0.500
0.500 0.500 0.000
0.095 0.660 0.660
0.198 0.198 0.651
0.198 0.651 0.198
0.340 0.340 0.905
0.340 0.905 0.340
0.349 0.802 0.802
0.651 0.198 0.198
0.660 0.095 0.660
0.660 0.660 0.095
0.802 0.349 0.802
0.802 0.802 0.349
0.905 0.340 0.340
```

Values from the calculation:
The calculation puts the total energy at -76.3 eV per formula unit.

Entry 2:
Bi3As2Pd4: optimized geometry, GGA-PBE.

Geometry as POSCAR:
```
Bi3As2Pd4
1.0
6.409 -5.094 0.000
6.409 5.094 0.000
-0.674 0.000 6.132
Bi As Pd
6 4 8
direct
0.097 0.903 0.750
0.256 0.523 0.074
0.477 0.744 0.426
0.523 0.256 0.574
0.744 0.477 0.926
0.903 0.097 0.250
0.054 0.361 0.626
0.361 0.054 0.126
0.639 0.946 0.874
0.946 0.639 0.374
0.095 0.232 0.979
0.232 0.095 0.479
0.241 0.567 0.584
0.433 0.759 0.916
0.567 0.241 0.084
0.759 0.433 0.416
0.768 0.905 0.521
0.905 0.768 0.021
```

Values from the calculation:
For the energy of formation, the calculation gives -1.7 eV/f.u.

Entry 3:
Ac2SmPb9: optimized geometry, GGA-PBE.

Geometry as POSCAR:
```
Ac2SmPb9
1.0
5.025 0.000 0.000
0.000 5.025 0.000
0.000 0.000 14.960
Ac Sm Pb
2 1 9
direct
0.000 0.000 0.171
0.000 0.000 0.829
0.000 0.000 0.500
0.000 0.500 0.000
0.000 0.500 0.341
0.000 0.500 0.659
0.500 0.000 0.000
0.500 0.000 0.341
0.500 0.000 0.659
0.500 0.500 0.170
0.500 0.500 0.500
0.500 0.500 0.830
```

Values from the calculation:
For the energy of formation, the calculation gives -4.7 eV/f.u.

Entry 4:
ReNiIr: optimized geometry, GGA-PBE.

Geometry as POSCAR:
```
ReNiIr
1.0
2.710 0.000 0.000
-1.355 2.347 0.000
0.000 0.000 6.472
Re Ni Ir
1 1 1
direct
0.000 0.000 0.000
0.667 0.333 0.676
0.333 0.667 0.340
```

Values from the calculation:
As for the energy above the most stable polymorph in this dataset: 152.2 meV/atom. For the energy of formation, the calculation gives 0.0 eV/f.u.

Entry 5:
YHfTh: optimized geometry, GGA-PBE.

Geometry as POSCAR:
```
YHfTh
1.0
-1.685 1.685 7.580
1.685 -1.685 7.580
1.685 1.685 -7.580
Y Hf Th
1 1 1
direct
0.000 0.000 0.000
0.656 0.656 0.000
0.313 0.313 0.000
```

Values from the calculation:
As for the energy above the most stable polymorph in this dataset: 0.0 meV/atom. For the energy of formation, the calculation gives 0.4 eV/f.u.

Entry 6:
ThBiS4: optimized geometry, GGA-PBE.

Geometry as POSCAR:
```
ThBiS4
1.0
4.878 0.000 0.000
0.000 4.878 0.000
0.000 0.000 6.347
Th Bi S
1 1 4
direct
0.000 0.000 0.000
0.500 0.500 0.500
0.000 0.500 0.244
0.000 0.500 0.756
0.500 0.000 0.244
0.500 0.000 0.756
```

Values from the calculation:
The calculation puts the total energy at -33.5 eV per formula unit.

Number 1: total magnetization 0.31 μB per atom, Fermi-level density of states 1.269 states/eV/atom. Number 2: total magnetization 0.00 μB per atom, Fermi-level density of states 0.405 states/eV/atom. Number 3: total magnetization 0.00 μB per atom, Fermi-level density of states 0.462 states/eV/atom. Number 4: total magnetization 0.00 μB per atom, Fermi-level density of states 1.178 states/eV/atom. Number 5: total magnetization 0.00 μB per atom, Fermi-level density of states 1.247 states/eV/atom. Number 6: total magnetization 0.00 μB per atom, Fermi-level density of states 0.599 states/eV/atom.